[1]
Computed, not measured: Ba2Zr6BCl17 after structural relaxation at the PBE-GGA level of DFT.

Cell and atoms, written as POSCAR:
```
Ba2Zr6BCl17
1.0
9.8176 -0.0428 0.0000
-4.6753 8.6330 0.0000
-2.5712 -4.2951 8.4456
Cl Zr Ba B
17 6 2 1
direct
0.5000 0.5000 0.0000 Cl
0.8615 0.7303 0.5917 Cl
0.0482 0.1908 0.7298 Cl
0.6816 0.9518 0.1426 Cl
0.5972 0.8783 0.4755 Cl
0.4028 0.1217 0.5245 Cl
0.7303 0.1385 0.8688 Cl
0.1217 0.5972 0.7189 Cl
0.4610 0.3184 0.2702 Cl
0.8783 0.4028 0.2811 Cl
0.2697 0.8615 0.1312 Cl
0.3184 0.0482 0.8574 Cl
0.8092 0.5390 0.8574 Cl
0.9518 0.8092 0.2702 Cl
0.5390 0.6816 0.7298 Cl
0.1908 0.4610 0.1426 Cl
0.1385 0.2697 0.4083 Cl
0.9410 0.1840 0.1250 Zr
0.8160 0.9410 0.7570 Zr
0.0590 0.8160 0.8750 Zr
0.2335 0.2335 0.0000 Zr
0.7665 0.7665 0.0000 Zr
0.1840 0.0590 0.2430 Zr
0.2500 0.7500 0.5000 Ba
0.7500 0.2500 0.5000 Ba
0.0000 0.0000 0.0000 B
```

Summary:
- ΔE_f (raw) (eV per atom) = -1.93



[2]
Computed, not measured: PmDyEr14 after structural relaxation at the PBE-GGA level of DFT.

Cell and atoms, written as POSCAR:
```
PmDyEr14
1.0
7.0172 -0.8476 0.0000
-2.7713 6.5023 0.0000
0.0000 0.0000 11.3595
Er Dy Pm
14 1 1
direct
0.7083 0.7918 0.5000 Er
0.8753 0.1247 0.2483 Er
0.5416 0.4584 0.0000 Er
0.8751 0.6254 0.2477 Er
0.2082 0.2917 0.5000 Er
0.8753 0.1247 0.7517 Er
0.0417 0.9583 0.0000 Er
0.8751 0.6254 0.7523 Er
0.0420 0.4582 0.0000 Er
0.3746 0.1249 0.7523 Er
0.3751 0.6249 0.7505 Er
0.5418 0.9580 0.0000 Er
0.3746 0.1249 0.2477 Er
0.3751 0.6249 0.2495 Er
0.2082 0.7918 0.5000 Dy
0.7080 0.2920 0.5000 Pm
```

Summary:
- formation energy from the elements (eV per atom) = 0.007
- DOS at the Fermi energy (states/eV per cell) = 21.1



[3]
Computed, not measured: Cs2Rb6Pd after structural relaxation at the PBE-GGA level of DFT.

Cell and atoms, written as POSCAR:
```
Cs2Rb6Pd
1.0
2.9287 -0.9542 9.6627
-6.4964 -3.5286 6.9428
1.3645 -9.2200 3.9983
Rb Cs Pd
6 2 1
direct
0.7367 0.2633 0.7367 Rb
0.2633 0.7367 0.7367 Rb
0.7367 0.2633 0.2633 Rb
0.2633 0.2633 0.7367 Rb
0.7367 0.7367 0.2633 Rb
0.2633 0.7367 0.2633 Rb
0.2500 0.2500 0.2500 Cs
0.7500 0.7500 0.7500 Cs
0.5000 0.5000 0.5000 Pd
```

Summary:
- formation energy from the elements (eV per atom) = 0.048
- DOS at the Fermi energy (states/eV per cell) = 9.3



[4]
Computed, not measured: Li2NpCd3O6 after structural relaxation at the PBE-GGA level of DFT.

Cell and atoms, written as POSCAR:
```
Li2NpCd3O6
1.0
-4.7130 1.6143 3.1332
3.6976 -4.3626 1.3895
3.4971 4.2519 2.2936
O Cd Np Li
6 3 1 2
direct
0.7966 0.7966 0.2928 O
0.0840 0.3664 0.1569 O
0.2034 0.2034 0.7072 O
0.3664 0.0840 0.1569 O
0.6336 0.9160 0.8431 O
0.9160 0.6336 0.8431 O
0.8211 0.1789 0.5000 Cd
0.1789 0.8211 0.5000 Cd
0.5000 0.5000 0.5000 Cd
0.0000 0.0000 0.0000 Np
0.7071 0.2929 0.0000 Li
0.2929 0.7071 0.0000 Li
```

Summary:
- DOS at the Fermi energy (states/eV per cell) = 1.1
- ΔE_f (raw) (eV per atom) = -1.70



[5]
Computed, not measured: LiAlZnAu2 after structural relaxation at the PBE-GGA level of DFT.

Cell and atoms, written as POSCAR:
```
LiAlZnAu2
1.0
-1.5994 1.1338 -2.5919
-6.0944 -2.1227 2.8321
1.1127 7.2025 2.4641
Au Li Al Zn
4 2 2 2
direct
0.2500 0.2888 0.4112 Au
0.7500 0.7230 0.0167 Au
0.2500 0.2770 0.9833 Au
0.7500 0.7112 0.5888 Au
0.2500 0.8552 0.3503 Li
0.7500 0.1448 0.6497 Li
0.2500 0.9068 0.8314 Al
0.7500 0.0932 0.1686 Al
0.7500 0.5158 0.2486 Zn
0.2500 0.4842 0.7514 Zn
```

Summary:
- formation energy from the elements (eV per atom) = -0.366
- DOS at the Fermi energy (states/eV per cell) = 2.4



[6]
Computed, not measured: Nb2H2Rh after structural relaxation at the PBE-GGA level of DFT.

Cell and atoms, written as POSCAR:
```
Nb2H2Rh
1.0
5.2180 -0.0005 0.4663
2.6100 4.4762 0.2320
3.0284 0.0028 4.9758
Rh Nb H
2 4 4
direct
0.1571 0.1860 0.7497 Rh
0.8429 0.8140 0.2503 Rh
0.4885 0.5218 0.7506 Nb
0.1643 0.1704 0.2505 Nb
0.8357 0.8296 0.7495 Nb
0.5115 0.4782 0.2494 Nb
0.3687 0.8170 0.0064 H
0.6848 0.1830 0.5071 H
0.3152 0.8170 0.4929 H
0.6313 0.1830 0.9936 H
```

Summary:
- DOS at the Fermi energy (states/eV per cell) = 5.2
- energy above the most stable polymorph in this dataset (kcal/mol of atoms) = 0.00



[7]
Computed, not measured: Nd4TeP3 after structural relaxation at the PBE-GGA level of DFT.

Cell and atoms, written as POSCAR:
```
Nd4TeP3
1.0
-1.3195 3.8314 -1.1934
-2.7434 -2.7634 1.6378
5.4365 9.9254 25.8539
Nd Te P
8 2 6
direct
0.0000 0.0000 0.3269 Nd
0.0000 0.0000 0.1731 Nd
0.0000 0.0000 0.8269 Nd
0.6667 0.3333 0.5576 Nd
0.3333 0.6667 0.4424 Nd
0.0000 0.0000 0.6731 Nd
0.3333 0.6667 0.0576 Nd
0.6667 0.3333 0.9424 Nd
0.6667 0.3333 0.7500 Te
0.3333 0.6667 0.2500 Te
0.6667 0.3333 0.3802 P
0.3333 0.6667 0.6198 P
0.0000 0.0000 0.0000 P
0.3333 0.6667 0.8802 P
0.0000 0.0000 0.5000 P
0.6667 0.3333 0.1198 P
```

Summary:
- DOS at the Fermi energy (states/eV per cell) = 4.0
- ΔE_f (raw) (eV per atom) = -1.58



[8]
Computed, not measured: SiGe2As after structural relaxation at the PBE-GGA level of DFT.

Cell and atoms, written as POSCAR:
```
SiGe2As
1.0
5.8315 0.0000 0.0000
0.0000 5.8315 0.0000
2.9157 2.9157 5.6265
Ge As Si
4 2 2
direct
0.3750 0.3959 0.7500 Ge
0.6041 0.1250 0.2500 Ge
0.8750 0.8541 0.7500 Ge
0.1459 0.6250 0.2500 Ge
0.0000 0.0000 0.0000 As
0.7500 0.2500 0.5000 As
0.2500 0.7500 0.5000 Si
0.5000 0.5000 0.0000 Si
```

Summary:
- DOS at the Fermi energy (states/eV per cell) = 5.1
- ΔE_f (raw) (eV per atom) = 0.15
- energy above the most stable polymorph in this dataset (kcal/mol of atoms) = 0.00



[9]
Computed, not measured: LiAl2ReF after structural relaxation at the PBE-GGA level of DFT.

Cell and atoms, written as POSCAR:
```
LiAl2ReF
1.0
-3.8085 2.5692 -1.7493
-1.1511 0.1452 2.7194
2.4490 4.1841 0.8133
Al Li Re F
2 1 1 1
direct
0.0000 0.0000 0.5000 Al
0.5000 0.0000 0.0000 Al
0.0000 0.0000 0.0000 Li
0.5000 0.5000 0.5000 Re
0.0000 0.5000 0.0000 F
```

Summary:
- DOS at the Fermi energy (states/eV per cell) = 1.6
- ΔE_f (raw) (eV per atom) = -0.20



[10]
Computed, not measured: Cs2KCdHg2 after structural relaxation at the PBE-GGA level of DFT.

Cell and atoms, written as POSCAR:
```
Cs2KCdHg2
1.0
5.7401 0.0000 0.0000
0.0000 9.4123 0.0000
0.0000 0.0000 10.2398
Cs Cd K Hg
4 2 2 4
direct
0.0000 0.3594 0.1514 Cs
0.5000 0.9903 0.1568 Cs
0.5000 0.4903 0.8432 Cs
0.0000 0.8594 0.8486 Cs
0.5000 0.1197 0.6872 Cd
0.5000 0.6197 0.3128 Cd
0.0000 0.0325 0.4747 K
0.0000 0.5325 0.5253 K
0.5000 0.3002 0.4240 Hg
0.0000 0.7434 0.2252 Hg
0.5000 0.8002 0.5760 Hg
0.0000 0.2434 0.7748 Hg
```

Summary:
- formation energy from the elements (eV per atom) = -0.149
- DOS at the Fermi energy (states/eV per cell) = 6.5



[11]
Computed, not measured: AcScZn2Au4 after structural relaxation at the PBE-GGA level of DFT.

Cell and atoms, written as POSCAR:
```
AcScZn2Au4
1.0
4.5987 0.0000 0.0000
2.2993 3.9826 0.0000
2.2993 1.3275 9.2426
Zn Au Ac Sc
2 4 1 1
direct
0.2333 0.2333 0.3000 Zn
0.7667 0.7667 0.7000 Zn
0.6010 0.6010 0.1969 Au
0.8751 0.8751 0.3748 Au
0.1249 0.1249 0.6252 Au
0.3990 0.3990 0.8031 Au
0.0000 0.0000 0.0000 Ac
0.5000 0.5000 0.5000 Sc
```

Summary:
- formation energy from the elements (eV per atom) = -0.601
- DOS at the Fermi energy (states/eV per cell) = 5.2